(1)
Compound: SnAsHOsBr
Source: Alexandria via LeMat-Bulk
Functional: PBE
Structure: optimized geometry

## Properties
* E: -4.896 eV per atom

a = 3.877 Å, b = 3.878 Å, c = 8.353 Å
α = 90.22°, β = 90.05°, γ = 119.98°
Space group P1 (No. 1)
Asymmetric unit:
Sn 0.000 0.000 0.000 x1
As 0.003 0.010 0.372 x1
H 0.334 0.666 0.063 x1
Os 0.335 0.675 0.260 x1
Br 0.664 0.333 0.758 x1



(2)
Compound: Hf2Pb2N
Source: Alexandria via LeMat-Bulk
Functional: PBE
Structure: optimized geometry

## Properties
* ΔE_f (raw): -322.9 meV/atom

a = 6.092 Å, b = 6.092 Å, c = 5.671 Å
α = 90.00°, β = 90.00°, γ = 90.00°
Space group P4/mbm (No. 127)
Asymmetric unit:
Hf 0.182 0.318 0.000 x4
Pb 0.183 0.683 0.500 x4
N 0.000 0.000 0.000 x2



(3)
Compound: Ac3IrI2
Source: Alexandria via LeMat-Bulk
Functional: PBE
Structure: optimized geometry

## Properties
* ΔE_f (raw): -992.6 meV/atom

a = 4.367 Å, b = 6.369 Å, c = 16.630 Å
α = 90.00°, β = 90.00°, γ = 90.00°
Space group Immm (No. 71)
Asymmetric unit:
Ac 0.000 0.000 0.000 x2
Ac 0.000 0.000 0.382 x4
Ir 0.000 0.500 0.000 x2
I 0.000 0.500 0.305 x4